The following is a DFT calculation (GGA-PBE) of crystalline Dy4Tm3Th at its relaxed geometry.

Summary:
relative energy among the computed polymorphs = 0.0000 eV per atom
DFT formation energy = 0.017 eV/atom
volume = 31.46 A^3/atom

abc: 11.2562 7.2010 6.2106
angles: 90.00 90.00 90.00
With the nearest neighbours (Å) after each atom.
Fractional coordinates of all 16 atoms:
Dy 0.0000 0.1269 0.0000  4 Tm 3.50-3.61, 6 Dy 3.50-3.63, 2 Th 3.58-3.62
Dy 0.0000 0.8699 0.5037  4 Tm 3.51-3.66, 6 Dy 3.51-3.63, 2 Th 3.57-3.58
Dy 0.2494 0.1272 0.3433  5 Tm 3.48-3.65, 1 Th 3.49, 6 Dy 3.50-3.61
Dy 0.2506 0.8728 0.8433  5 Tm 3.48-3.65, 1 Th 3.49, 6 Dy 3.50-3.61
Dy 0.5000 0.1301 0.0037  4 Tm 3.51-3.66, 6 Dy 3.51-3.63, 2 Th 3.57-3.58
Dy 0.5000 0.8731 0.5000  4 Tm 3.50-3.61, 6 Dy 3.50-3.63, 2 Th 3.58-3.62
Dy 0.7494 0.8728 0.8433  5 Tm 3.48-3.65, 1 Th 3.49, 6 Dy 3.50-3.61
Dy 0.7506 0.1272 0.3433  5 Tm 3.48-3.65, 1 Th 3.49, 6 Dy 3.50-3.61
Tm 0.0000 0.3783 0.5027  4 Tm 3.48, 6 Dy 3.48-3.66, 2 Th 3.57-3.58
Tm 0.2492 0.3787 0.8329  4 Tm 3.48-3.56, 2 Th 3.48, 6 Dy 3.50-3.65
Tm 0.2508 0.6213 0.3329  4 Tm 3.48-3.56, 2 Th 3.48, 6 Dy 3.50-3.65
Tm 0.5000 0.6217 0.0027  4 Tm 3.48, 6 Dy 3.48-3.66, 2 Th 3.57-3.58
Tm 0.7492 0.6213 0.3329  4 Tm 3.48-3.56, 2 Th 3.48, 6 Dy 3.50-3.65
Tm 0.7508 0.3787 0.8329  4 Tm 3.48-3.56, 2 Th 3.48, 6 Dy 3.50-3.65
Th 0.0000 0.6243 0.0041  6 Tm 3.48-3.58, 6 Dy 3.49-3.62
Th 0.5000 0.3757 0.5041  6 Tm 3.48-3.58, 6 Dy 3.49-3.62